## Re2HPb (PBE)

Data for Re2HPb after structural relaxation.

## Properties
raw total energy	-7.0704	eV per atom
magnetic moment	0.0	μB/cell
energy relative to the lowest polymorph listed for this composition	0.000	eV per atom

a b c (Å): 5.048 5.048 6.134
angles (deg): 65.70 65.70 90.00
Sites, in units of the cell vectors:
Re  0.348  0.125  0.250
Re  0.875  0.598  0.750
Re  0.375  0.652  0.750
Re  0.402  0.625  0.250
H  0.500  0.500  0.000
H  0.250  0.750  0.500
Pb  0.000  0.000  0.000
Pb  0.750  0.250  0.500

## Tm3TiPt12 (PBE)

Data for Tm3TiPt12 after structural relaxation.

## Properties
raw total energy	-6.9026	eV per atom
magnetic moment	0.0	μB/cell
energy of formation	-16.6	eV per formula unit

a b c (Å): 4.053 4.053 16.237
angles (deg): 90.00 90.00 90.00
Sites, in units of the cell vectors:
Pt  0.500  0.500  0.500
Pt  0.500  0.500  0.000
Pt  0.000  0.500  0.884
Pt  0.500  0.000  0.884
Pt  0.500  0.000  0.116
Pt  0.500  0.500  0.756
Pt  0.500  0.000  0.627
Pt  0.000  0.500  0.373
Pt  0.000  0.500  0.116
Pt  0.000  0.500  0.627
Pt  0.500  0.000  0.373
Pt  0.500  0.500  0.244
Tm  0.000  0.000  0.500
Tm  0.000  0.000  0.753
Tm  0.000  0.000  0.247
Ti  0.000  0.000  0.000

- magnetic moment of number 2 (Tm3TiPt12)?
  0.0 μB/cell

- Look up the raw total energy of the first one.
  -7.0704 eV per atom